Record 1
Below is a relaxed KSc2TcO8 crystal, with properties calculated at the GGA-PBE level.

## Properties
- Formation energy (no corrections): -24.5 eV per formula unit
- Total magnetization: 0.000 μB per atom
- Raw total energy: -88.303 eV for the cell shown
- SG: No. 10

Lattice parameters (Å, degrees): 4.7992 7.1657 4.8099 90.00 90.29 90.00
With the nearest neighbours (Å) after each atom.
Positions (direct):
K: 0.0000 0.0000 0.0000  6 O 2.61-2.64
Sc: 0.5000 0.2854 0.5000  6 O 2.08-2.18
Sc: 0.5000 0.7146 0.5000  6 O 2.08-2.18
Tc: 0.0000 0.5000 0.0000  6 O 1.86-1.99
O: 0.1937 0.3154 0.8082  1 Tc 1.86
O: 0.1937 0.6846 0.8082  1 Tc 1.86
O: 0.2931 0.5000 0.2947  1 Tc 1.99, 2 Sc 2.08
O: 0.3884 0.0000 0.3908  1 O 1.50
O: 0.6116 0.0000 0.6092  1 O 1.50
O: 0.7069 0.5000 0.7053  1 Tc 1.99, 2 Sc 2.08
O: 0.8063 0.3154 0.1918  1 Tc 1.86
O: 0.8063 0.6846 0.1918  1 Tc 1.86

---

Record 2
Below is a relaxed TlCo2Cl crystal, with properties calculated at the GGA-PBE level.

## Properties
- Offset from the most stable computed form: 108.0 meV per atom
- Formation energy (no corrections): 1.4 eV per formula unit
- Total magnetization: 0.772 μB per atom
- Raw total energy: -17.049 eV for the cell shown
- SG: No. 47

Lattice parameters (Å, degrees): 3.1099 4.0852 6.1034 90.00 90.00 90.00
With the nearest neighbours (Å) after each atom.
Positions (direct):
Tl: 0.0000 0.0000 0.0000  8 Co 2.80, 2 Tl 3.11
Co: 0.5000 0.5000 0.1819  1 Co 2.22
Co: 0.5000 0.5000 0.8181  1 Co 2.22
Cl: 0.0000 0.5000 0.5000  4 Co 2.49

---

Record 3
Below is a relaxed Ca4SiHg crystal, with properties calculated at the GGA-PBE level.

## Properties
- Formation energy (no corrections): 2.5 eV per formula unit
- Total magnetization: 0.000 μB per atom
- Raw total energy: -11.273 eV for the cell shown
- SG: No. 216

Lattice parameters (Å, degrees): 6.5216 6.5216 6.5216 60.00 60.00 60.00
With the nearest neighbours (Å) after each atom.
Positions (direct):
Ca: 0.3759 0.3759 0.3759  6 Ca 3.24-3.28
Ca: 0.3759 0.3759 0.8723  6 Ca 3.24-3.28
Ca: 0.3759 0.8723 0.3759  6 Ca 3.24-3.28
Ca: 0.8723 0.3759 0.3759  6 Ca 3.24-3.28
Si: 0.7500 0.7500 0.7500  12 Ca 3.82, 4 Hg 3.99
Hg: 0.0000 0.0000 0.0000  12 Ca 3.83, 4 Si 3.99

---

Record 4
Below is a relaxed Be2TlBr crystal, with properties calculated at the GGA-PBE level.

## Properties
- Offset from the most stable computed form: 460.7 meV per atom
- Formation energy (no corrections): 3.2 eV per formula unit
- Total magnetization: 0.000 μB per atom
- Raw total energy: -8.330 eV for the cell shown
- SG: No. 119

Lattice parameters (Å, degrees): 7.8122 7.8122 7.8122 153.92 153.92 37.22
With the nearest neighbours (Å) after each atom.
Positions (direct):
Be: 0.0000 0.0000 0.0000  4 Tl 2.49
Be: 0.7500 0.2500 0.5000  4 Br 2.49
Tl: 0.5000 0.5000 0.0000  4 Be 2.49
Br: 0.2500 0.7500 0.5000  4 Be 2.49

---

What is the formation energy (no corrections) in the first record? -24.5 eV per formula unit

---

formation energy (no corrections) of number 1 (KSc2TcO8)? -24.5 eV per formula unit

---

Which value of raw total energy does entry 4 give? -8.330 eV for the cell shown

---

Copy entry 3 word for word.
Below is a relaxed Ca4SiHg crystal, with properties calculated at the GGA-PBE level.

## Properties
- Formation energy (no corrections): 2.5 eV per formula unit
- Total magnetization: 0.000 μB per atom
- Raw total energy: -11.273 eV for the cell shown
- SG: No. 216

Lattice parameters (Å, degrees): 6.5216 6.5216 6.5216 60.00 60.00 60.00
With the nearest neighbours (Å) after each atom.
Positions (direct):
Ca: 0.3759 0.3759 0.3759  6 Ca 3.24-3.28
Ca: 0.3759 0.3759 0.8723  6 Ca 3.24-3.28
Ca: 0.3759 0.8723 0.3759  6 Ca 3.24-3.28
Ca: 0.8723 0.3759 0.3759  6 Ca 3.24-3.28
Si: 0.7500 0.7500 0.7500  12 Ca 3.82, 4 Hg 3.99
Hg: 0.0000 0.0000 0.0000  12 Ca 3.83, 4 Si 3.99